Entry 1:
The following is a GGA-PBE calculation of a geometry-optimized LaLuPu2 structure, from Alexandria via LeMat-Bulk.

Properties
Energy relative to the elements in eV per formula unit: 0.8

Unit cell a=3.427 b=3.427 c=10.049 alpha=90.00 beta=90.00 gamma=90.00
Space group P4/mmm (No. 123)
Inequivalent atoms, fractional coordinates:
La (0.000, 0.000, 0.000) (multiplicity 1)
Lu (0.000, 0.000, 0.500) (multiplicity 1)
Pu (0.500, 0.500, 0.258) (multiplicity 2)

Entry 2:
The following is a GGA-PBE calculation of a geometry-optimized LaLuPu4 structure, from Alexandria via LeMat-Bulk.

Properties
Energy relative to the elements in eV per formula unit: 1.4

Unit cell a=8.770 b=8.770 c=8.770 alpha=90.00 beta=90.00 gamma=90.00
Space group F-43m (No. 216)
Inequivalent atoms, fractional coordinates:
La (0.000, 0.000, 0.000) (multiplicity 4)
Lu (0.250, 0.250, 0.750) (multiplicity 4)
Pu (0.125, 0.125, 0.375) (multiplicity 16)

Entry 3:
The following is a GGA-PBE calculation of a geometry-optimized LaLuPu structure, from Alexandria via LeMat-Bulk.

Properties
Energy above the lowest structure with this stoichiometry in kJ/mol of atoms: 1.8
Energy relative to the elements in eV per formula unit: 0.4

Unit cell a=3.5464 b=3.5464 c=8.5527 alpha=90.00 beta=90.00 gamma=120.00
Space group P3m1 (No. 156)
Inequivalent atoms, fractional coordinates:
La (0.0000, 0.0000, 0.0000) (multiplicity 1)
Lu (0.3333, 0.6667, 0.6545) (multiplicity 1)
Pu (0.6667, 0.3333, 0.3348) (multiplicity 1)

Entry 4:
The following is a GGA-PBE calculation of a geometry-optimized LaLu2Pu structure, from Alexandria via LeMat-Bulk.

Properties
Energy above the lowest structure with this stoichiometry in kJ/mol of atoms: 4.0
Energy relative to the elements in eV per formula unit: 0.8

Unit cell a=7.929 b=7.929 c=7.929 alpha=90.00 beta=90.00 gamma=90.00
Space group Fm-3m (No. 225)
Inequivalent atoms, fractional coordinates:
La (0.000, 0.000, 0.000) (multiplicity 4)
Lu (0.250, 0.250, 0.250) (multiplicity 8)
Pu (0.000, 0.000, 0.500) (multiplicity 4)

Entry 5:
The following is a GGA-PBE calculation of a geometry-optimized LaLu2Pu structure, from Alexandria via LeMat-Bulk.

Properties
Energy above the lowest structure with this stoichiometry in kJ/mol of atoms: 0.0
Energy relative to the elements in eV per formula unit: 0.6

Unit cell a=4.936 b=4.936 c=5.006 alpha=90.00 beta=90.00 gamma=90.00
Space group P4/mmm (No. 123)
Inequivalent atoms, fractional coordinates:
La (0.000, 0.000, 0.000) (multiplicity 1)
Lu (0.000, 0.500, 0.500) (multiplicity 2)
Pu (0.500, 0.500, 0.000) (multiplicity 1)

Entry 6:
The following is a GGA-PBE calculation of a geometry-optimized LaLuPuSc structure, from Alexandria via LeMat-Bulk.

Properties
Energy relative to the elements in eV per formula unit: 0.8

Unit cell a=7.800 b=7.800 c=7.800 alpha=90.00 beta=90.00 gamma=90.00
Space group F-43m (No. 216)
Inequivalent atoms, fractional coordinates:
La (0.000, 0.000, 0.000) (multiplicity 4)
Lu (0.250, 0.250, 0.250) (multiplicity 4)
Pu (0.000, 0.000, 0.500) (multiplicity 4)
Sc (0.250, 0.250, 0.750) (multiplicity 4)

Entry 7:
The following is a GGA-PBE calculation of a geometry-optimized LaSmLuPu structure, from Alexandria via LeMat-Bulk.

Properties
Energy relative to the elements in eV per formula unit: 0.8

Unit cell a=7.996 b=7.996 c=7.996 alpha=90.00 beta=90.00 gamma=90.00
Space group F-43m (No. 216)
Inequivalent atoms, fractional coordinates:
La (0.000, 0.000, 0.000) (multiplicity 4)
Sm (0.000, 0.000, 0.500) (multiplicity 4)
Lu (0.250, 0.250, 0.750) (multiplicity 4)
Pu (0.250, 0.250, 0.250) (multiplicity 4)

Entry 8:
The following is a GGA-PBE calculation of a geometry-optimized LaTbLuPu structure, from Alexandria via LeMat-Bulk.

Properties
Energy relative to the elements in eV per formula unit: 0.8

Unit cell a=7.953 b=7.953 c=7.953 alpha=90.00 beta=90.00 gamma=90.00
Space group F-43m (No. 216)
Inequivalent atoms, fractional coordinates:
La (0.000, 0.000, 0.000) (multiplicity 4)
Tb (0.000, 0.000, 0.500) (multiplicity 4)
Lu (0.250, 0.250, 0.750) (multiplicity 4)
Pu (0.250, 0.250, 0.250) (multiplicity 4)